# 1
! HgBiMo3 (PBE-GGA, optimized geometry); values from VASP
! Offset from the most stable computed form: 0.00 eV/f.u.
! Symmetry: Pm-3m, No. 221
! DFT formation energy: 2.272 eV per atom
&SYSTEM
  ibrav = 0, nat = 5, ntyp = 3
/
ATOMIC_SPECIES
Hg 200.59 Hg.upf
Bi 208.98 Bi.upf
Mo 95.94 Mo.upf
ATOMIC_POSITIONS angstrom
Hg 0.000 0.000 0.000
Bi 2.523 2.523 2.523
Mo 0.000 0.000 2.523
Mo 0.000 2.523 0.000
Mo 2.523 0.000 0.000
CELL_PARAMETERS angstrom
5.046 0.000 0.000
0.000 5.046 0.000
0.000 0.000 5.046


# 2
! ReHRu3 (PBE-GGA, optimized geometry); values from VASP
! Offset from the most stable computed form: 0.00 eV/f.u.
! Symmetry: Pm-3m, No. 221
&SYSTEM
  ibrav = 0, nat = 5, ntyp = 3
/
ATOMIC_SPECIES
Re 186.21 Re.upf
H 1.01 H.upf
Ru 101.07 Ru.upf
ATOMIC_POSITIONS angstrom
Re 0.000 0.000 0.000
H 1.942 1.942 1.942
Ru 0.000 1.942 1.942
Ru 1.942 0.000 1.942
Ru 1.942 1.942 0.000
CELL_PARAMETERS angstrom
3.885 0.000 0.000
0.000 3.885 0.000
0.000 0.000 3.885


# 3
! Y6Bi2SbTe3 (PBE-GGA, optimized geometry); values from VASP
! Symmetry: C2/m, No. 12
! Formation energy from raw total energies: -1.177 eV/atom
&SYSTEM
  ibrav = 0, nat = 12, ntyp = 4
/
ATOMIC_SPECIES
Y 88.91 Y.upf
Bi 208.98 Bi.upf
Sb 121.76 Sb.upf
Te 127.60 Te.upf
ATOMIC_POSITIONS angstrom
Y 18.756 0.000 2.065
Y -1.516 0.000 6.518
Y 5.583 0.000 3.585
Y 4.653 0.000 7.881
Y 12.587 0.000 0.702
Y 11.657 0.000 4.997
Bi 2.540 0.000 2.863
Bi 14.700 0.000 5.720
Sb 9.622 0.000 0.000
Te 1.563 0.000 7.156
Te 8.620 0.000 4.291
Te 15.677 0.000 1.427
CELL_PARAMETERS angstrom
9.622 -2.207 0.000
9.622 2.207 0.000
-2.004 0.000 8.583


# 4
! RbSmO (PBE-GGA, optimized geometry); values from VASP
! Symmetry: Amm2, No. 38
! Formation energy from raw total energies: -0.907 eV/atom
&SYSTEM
  ibrav = 0, nat = 6, ntyp = 3
/
ATOMIC_SPECIES
Rb 85.47 Rb.upf
Sm 150.36 Sm.upf
O 16.00 O.upf
ATOMIC_POSITIONS angstrom
Rb 1.679 0.000 0.000
Rb 13.591 0.000 0.000
Sm 6.030 0.000 3.415
Sm 9.240 0.000 3.415
O 0.000 0.000 4.093
O 7.635 0.000 5.464
CELL_PARAMETERS angstrom
15.270 0.000 0.000
0.000 1.778 3.072
0.000 -1.778 3.072


# 5
! Zr2NiP (PBE-GGA, optimized geometry); values from VASP
! Symmetry: F-43m, No. 216
! DFT formation energy: 0.090 eV per atom
&SYSTEM
  ibrav = 0, nat = 4, ntyp = 3
/
ATOMIC_SPECIES
Zr 91.22 Zr.upf
Ni 58.69 Ni.upf
P 30.97 P.upf
ATOMIC_POSITIONS angstrom
Zr 0.000 0.000 0.000
Zr 1.609 1.609 1.609
Ni 3.218 3.218 3.218
P 4.826 4.826 4.826
CELL_PARAMETERS angstrom
0.000 3.218 3.218
3.218 0.000 3.218
3.218 3.218 0.000


# 6
! AlFe2Cu2 (PBE-GGA, optimized geometry); values from VASP
! Offset from the most stable computed form: 0.00 eV/f.u.
! Symmetry: P4/mbm, No. 127
! DFT formation energy: 0.188 eV per atom
&SYSTEM
  ibrav = 0, nat = 10, ntyp = 3
/
ATOMIC_SPECIES
Al 26.98 Al.upf
Fe 55.84 Fe.upf
Cu 63.55 Cu.upf
ATOMIC_POSITIONS angstrom
Al 0.000 0.000 0.000
Al 3.392 3.392 0.000
Fe 1.167 2.225 1.413
Fe 2.225 5.618 1.413
Fe 4.559 1.167 1.413
Fe 5.618 4.559 1.413
Cu 0.855 4.247 0.000
Cu 2.538 0.855 0.000
Cu 4.247 5.930 0.000
Cu 5.930 2.538 0.000
CELL_PARAMETERS angstrom
6.785 0.000 0.000
0.000 6.785 0.000
0.000 0.000 2.826


- Which formula does entry 6 have?
  AlFe2Cu2